No. 1
In6Hg2Pb after structural relaxation, computed with GGA-PBE.

Summary:
energy of formation: 0.015 eV per atom
crystal system: hexagonal
space-group type: P-6m2

Cell: 3.406 3.406 24.739 Å, 90.00 90.00 120.00°
Sites, in units of the cell vectors:
In: 0.667 0.333 0.882
In: 0.333 0.667 0.228
In: 0.333 0.667 0.772
In: 0.333 0.667 0.438
In: 0.667 0.333 0.118
In: 0.333 0.667 0.562
Hg: 0.667 0.333 0.667
Hg: 0.667 0.333 0.333
Pb: 0.333 0.667 0.000

No. 2
Pm4Zn3Sn after structural relaxation, computed with GGA-PBE.

Summary:
energy of formation: -0.373 eV per atom
crystal system: orthorhombic
space-group type: Pmm2

Cell: 4.079 4.481 11.665 Å, 90.00 90.00 90.00°
Sites, in units of the cell vectors:
Pm: 0.500 0.000 0.645
Pm: 0.500 0.500 0.360
Pm: 0.000 0.500 0.846
Pm: 0.000 0.000 0.153
Sn: 0.500 0.500 0.073
Zn: 0.000 0.500 0.569
Zn: 0.500 0.000 0.923
Zn: 0.000 0.000 0.432

No. 3
AlAgPCl2 after structural relaxation, computed with GGA-PBE.

Summary:
crystal system: tetragonal
space-group type: P4/mmm
uncorrected formation energy: -0.1132 eV/atom

Cell: 4.576 4.576 5.141 Å, 90.00 90.00 90.00°
Sites, in units of the cell vectors:
Ag: 0.500 0.500 0.500
Cl: 0.500 0.000 0.000
Cl: 0.000 0.500 0.000
P: 0.000 0.000 0.500
Al: 0.000 0.000 0.000

No. 4
ZrTa2Cl after structural relaxation, computed with GGA-PBE.

Summary:
crystal system: orthorhombic
space-group type: Cmmm
uncorrected formation energy: 0.4705 eV/atom

Cell: 5.538 5.538 2.977 Å, 90.00 90.00 121.74°
Sites, in units of the cell vectors:
Ta: 0.500 0.500 0.000
Ta: 0.000 0.000 0.000
Cl: 0.000 0.500 0.500
Zr: 0.500 0.000 0.500

Result set for energy above the most stable polymorph in this dataset: 0.0000, 0.0456, 0.0000, 0.6701 eV/atom, one per record in the order listed.
Result set for E: -20.61, -29.81, -16.26, -32.22 eV/cell, one per record in the order listed.